First-principles (PBE) data for a geometry-optimized LiSc2B2Ir5 structure, as listed in Alexandria via LeMat-Bulk.

Cell lengths 9.3782, 9.3782, 3.0091 Å; angles 90.00, 90.00, 90.00 degrees
Fractional coordinates of all 20 atoms:
Li (0.0000, 0.0000, 0.0000)
Li (0.5000, 0.5000, 0.0000)
Sc (0.1768, 0.3232, 0.0000)
Sc (0.3232, 0.8232, 0.0000)
Sc (0.6768, 0.1768, 0.0000)
Sc (0.8232, 0.6768, 0.0000)
B (0.1287, 0.6287, 0.0000)
B (0.3713, 0.1287, 0.0000)
B (0.6287, 0.8713, 0.0000)
B (0.8713, 0.3713, 0.0000)
Ir (0.0000, 0.5000, 0.5000)
Ir (0.0683, 0.7868, 0.5000)
Ir (0.2132, 0.0683, 0.5000)
Ir (0.2868, 0.5683, 0.5000)
Ir (0.4317, 0.2868, 0.5000)
Ir (0.5000, 0.0000, 0.5000)
Ir (0.5683, 0.7132, 0.5000)
Ir (0.7132, 0.4317, 0.5000)
Ir (0.7868, 0.9317, 0.5000)
Ir (0.9317, 0.2132, 0.5000)

Results
formation energy from the elements: -0.716 eV per atom
density of states at the Fermi level: 6.703 states/eV per cell
space group: P4/mbm

***

First-principles (PBE) data for a geometry-optimized Y2SbW structure, as listed in Alexandria via LeMat-Bulk.

Cell lengths 6.5589, 6.5589, 6.5589 Å; angles 102.15, 102.15, 125.38 degrees
Fractional coordinates of all 8 atoms:
Y (0.0858, 0.1250, 0.4608)
Y (0.3750, 0.9142, 0.0392)
Y (0.6642, 0.6250, 0.5392)
Y (0.8750, 0.3358, 0.9608)
Sb (0.2500, 0.7500, 0.5000)
Sb (0.5000, 0.5000, 0.0000)
W (0.0000, 0.0000, 0.0000)
W (0.7500, 0.2500, 0.5000)

Results
density of states at the Fermi level: 9.192 states/eV per cell
space group: I-42d
formation energy without anion corrections: 0.513 eV/atom

***

First-principles (PBE) data for a geometry-optimized Ca2LaSnH structure, as listed in Alexandria via LeMat-Bulk.

Cell lengths 5.0257, 5.0257, 4.9789 Å; angles 90.00, 90.00, 90.00 degrees
Fractional coordinates of all 5 atoms:
Ca (0.0000, 0.5000, 0.0000)
Ca (0.5000, 0.0000, 0.0000)
La (0.0000, 0.0000, 0.5000)
Sn (0.5000, 0.5000, 0.5000)
H (0.0000, 0.0000, 0.0000)

Results
density of states at the Fermi level: 3.451 states/eV per cell
space group: P4/mmm
raw total energy: -3.743 eV per atom

***

First-principles (PBE) data for a geometry-optimized SrPtBr2 structure, as listed in Alexandria via LeMat-Bulk.

Cell lengths 7.3288, 7.3288, 7.3288 Å; angles 41.63, 41.63, 41.63 degrees
Fractional coordinates of all 4 atoms:
Sr (0.0000, 0.0000, 0.0000)
Pt (0.5000, 0.5000, 0.5000)
Br (0.3819, 0.3819, 0.3819)
Br (0.6181, 0.6181, 0.6181)

Results
density of states at the Fermi level: 0.000 states/eV per cell
space group: R-3m
formation energy without anion corrections: -0.837 eV/atom

***

First-principles (PBE) data for a geometry-optimized Si2Mo2Rh structure, as listed in Alexandria via LeMat-Bulk.

Cell lengths 6.1370, 6.1370, 3.7709 Å; angles 90.00, 90.00, 90.00 degrees
Fractional coordinates of all 10 atoms:
Si (0.1340, 0.3660, 0.0000)
Si (0.3660, 0.8660, 0.0000)
Si (0.6340, 0.1340, 0.0000)
Si (0.8660, 0.6340, 0.0000)
Mo (0.1705, 0.6705, 0.5000)
Mo (0.3295, 0.1705, 0.5000)
Mo (0.6705, 0.8295, 0.5000)
Mo (0.8295, 0.3295, 0.5000)
Rh (0.0000, 0.0000, 0.0000)
Rh (0.5000, 0.5000, 0.0000)

Results
density of states at the Fermi level: 7.727 states/eV per cell
space group: P4/mbm
formation energy without anion corrections: -0.413 eV/atom

***

First-principles (PBE) data for a geometry-optimized Y3TaAg3Se8 structure, as listed in Alexandria via LeMat-Bulk.

Cell lengths 8.0891, 8.0891, 8.2348 Å; angles 119.60, 119.60, 60.01 degrees
Fractional coordinates of all 15 atoms:
Y (0.0000, 0.0000, 0.0000)
Y (0.0000, 0.5000, 0.0000)
Y (0.5000, 0.0000, 0.0000)
Ta (0.5000, 0.5000, 0.0000)
Ag (0.0000, 0.5000, 0.5000)
Ag (0.5000, 0.0000, 0.5000)
Ag (0.5000, 0.5000, 0.5000)
Se (0.2491, 0.2491, 0.2461)
Se (0.2689, 0.2689, 0.7702)
Se (0.2689, 0.7311, 0.2298)
Se (0.2689, 0.7311, 0.7702)
Se (0.7311, 0.2689, 0.2298)
Se (0.7311, 0.2689, 0.7702)
Se (0.7311, 0.7311, 0.2298)
Se (0.7509, 0.7509, 0.7539)

Results
density of states at the Fermi level: 4.570 states/eV per cell
space group: C2/m
formation energy without anion corrections: -1.027 eV/atom

***

First-principles (PBE) data for a geometry-optimized K2LaRu structure, as listed in Alexandria via LeMat-Bulk.

Cell lengths 5.5275, 5.5275, 5.5275 Å; angles 60.00, 60.00, 60.00 degrees
Fractional coordinates of all 4 atoms:
K (0.2500, 0.2500, 0.2500)
K (0.7500, 0.7500, 0.7500)
La (0.0000, 0.0000, 0.0000)
Ru (0.5000, 0.5000, 0.5000)

Results
formation energy from the elements: 1.236 eV per atom
density of states at the Fermi level: 3.219 states/eV per cell
space group: Fm-3m

***

First-principles (PBE) data for a geometry-optimized NaCdCuF6 structure, as listed in Alexandria via LeMat-Bulk.

Cell lengths 5.5969, 5.5969, 9.3582 Å; angles 90.00, 90.00, 120.00 degrees
Fractional coordinates of all 18 atoms:
Na (0.0000, 0.0000, 0.0000)
Na (0.0000, 0.0000, 0.5000)
Cd (0.3333, 0.6667, 0.2500)
Cd (0.6667, 0.3333, 0.7500)
Cu (0.3333, 0.6667, 0.7500)
Cu (0.6667, 0.3333, 0.2500)
F (0.0445, 0.3803, 0.6354)
F (0.0445, 0.6642, 0.8646)
F (0.3358, 0.3803, 0.8646)
F (0.3358, 0.9555, 0.6354)
F (0.3803, 0.0445, 0.1354)
F (0.3803, 0.3358, 0.3646)
F (0.6197, 0.6642, 0.6354)
F (0.6197, 0.9555, 0.8646)
F (0.6642, 0.0445, 0.3646)
F (0.6642, 0.6197, 0.1354)
F (0.9555, 0.3358, 0.1354)
F (0.9555, 0.6197, 0.3646)

Results
space group: P-31c
formation energy without anion corrections: -1.980 eV/atom

***

First-principles (PBE) data for a geometry-optimized ErPu2NpN4 structure, as listed in Alexandria via LeMat-Bulk.

Cell lengths 5.9653, 3.4509, 6.0018 Å; angles 90.00, 109.62, 90.00 degrees
Fractional coordinates of all 8 atoms:
Er (0.0000, 0.0000, 0.0000)
Pu (0.0000, 0.5000, 0.5000)
Pu (0.5000, 0.0000, 0.5000)
Np (0.5000, 0.5000, 0.0000)
N (0.2550, 0.0000, 0.7626)
N (0.2592, 0.5000, 0.2408)
N (0.7408, 0.5000, 0.7592)
N (0.7450, 0.0000, 0.2374)

Results
density of states at the Fermi level: 15.513 states/eV per cell
space group: P2/m
formation energy without anion corrections: -1.305 eV/atom

***

First-principles (PBE) data for a geometry-optimized HoTiRe structure, as listed in Alexandria via LeMat-Bulk.

Cell lengths 7.1738, 7.1738, 7.1738 Å; angles 25.61, 25.61, 25.61 degrees
Fractional coordinates of all 3 atoms:
Ho (0.0000, 0.0000, 0.0000)
Ti (0.1985, 0.1985, 0.1985)
Re (0.7804, 0.7804, 0.7804)

Results
formation energy from the elements: 0.259 eV per atom
density of states at the Fermi level: 3.097 states/eV per cell
space group: R3m

***

First-principles (PBE) data for a geometry-optimized ErTmCu structure, as listed in Alexandria via LeMat-Bulk.

Cell lengths 6.5470, 6.5470, 6.5470 Å; angles 149.58, 149.58, 43.56 degrees
Fractional coordinates of all 3 atoms:
Er (0.0000, 0.0000, 0.0000)
Tm (0.7220, 0.7220, 0.0000)
Cu (0.3592, 0.3592, 0.0000)

Results
formation energy from the elements: -0.148 eV per atom
density of states at the Fermi level: 3.933 states/eV per cell
space group: I4mm

***

First-principles (PBE) data for a geometry-optimized Hg2AsW structure, as listed in Alexandria via LeMat-Bulk.

Cell lengths 7.9184, 7.9184, 7.9184 Å; angles 95.28, 95.28, 144.68 degrees
Fractional coordinates of all 8 atoms:
Hg (0.3750, 0.1256, 0.2506)
Hg (0.8744, 0.1250, 0.2494)
Hg (0.8750, 0.1244, 0.7494)
Hg (0.8756, 0.6250, 0.7506)
As (0.2500, 0.7500, 0.5000)
As (0.5000, 0.5000, 0.0000)
W (0.0000, 0.0000, 0.0000)
W (0.7500, 0.2500, 0.5000)

Results
formation energy from the elements: 0.712 eV per atom
density of states at the Fermi level: 1.751 states/eV per cell
space group: I-42d

***

First-principles (PBE) data for a geometry-optimized KSm2AuO5 structure, as listed in Alexandria via LeMat-Bulk.

Cell lengths 7.8295, 7.8295, 7.8295 Å; angles 128.94, 128.94, 75.11 degrees
Fractional coordinates of all 18 atoms:
K (0.2500, 0.2500, 0.0000)
K (0.7500, 0.7500, 0.0000)
Sm (0.1741, 0.6741, 0.8482)
Sm (0.3259, 0.1741, 0.5000)
Sm (0.6741, 0.8259, 0.5000)
Sm (0.8259, 0.3259, 0.1518)
Au (0.2500, 0.7500, 0.5000)
Au (0.7500, 0.2500, 0.5000)
O (0.0000, 0.0000, 0.0000)
O (0.0203, 0.2521, 0.5000)
O (0.2479, 0.4797, 0.5000)
O (0.2521, 0.7521, 0.2318)
O (0.4797, 0.9797, 0.2318)
O (0.5000, 0.5000, 0.0000)
O (0.5203, 0.0203, 0.7682)
O (0.7479, 0.2479, 0.7682)
O (0.7521, 0.5203, 0.5000)
O (0.9797, 0.7479, 0.5000)

Results
density of states at the Fermi level: 4.717 states/eV per cell
space group: I4/mcm
formation energy without anion corrections: -2.002 eV/atom

***

First-principles (PBE) data for a geometry-optimized La3ZnP2Pt9 structure, as listed in Alexandria via LeMat-Bulk.

Cell lengths 6.2485, 6.2485, 9.3259 Å; angles 90.00, 90.00, 120.00 degrees
Fractional coordinates of all 15 atoms:
La (0.0000, 0.0000, 0.0000)
La (0.3333, 0.6667, 0.6781)
La (0.6667, 0.3333, 0.3219)
Zn (0.0000, 0.0000, 0.5000)
P (0.3333, 0.6667, 0.1739)
P (0.6667, 0.3333, 0.8261)
Pt (0.0000, 0.5000, 0.0000)
Pt (0.1475, 0.2951, 0.2856)
Pt (0.1475, 0.8525, 0.2856)
Pt (0.2951, 0.1475, 0.7144)
Pt (0.5000, 0.0000, 0.0000)
Pt (0.5000, 0.5000, 0.0000)
Pt (0.7049, 0.8525, 0.2856)
Pt (0.8525, 0.1475, 0.7144)
Pt (0.8525, 0.7049, 0.7144)

Results
formation energy from the elements: -0.779 eV per atom
density of states at the Fermi level: 2.828 states/eV per cell
space group: P-3m1

***

First-principles (PBE) data for a geometry-optimized TlCoTc2 structure, as listed in Alexandria via LeMat-Bulk.

Cell lengths 2.8418, 3.8047, 5.8977 Å; angles 90.00, 90.00, 90.00 degrees
Fractional coordinates of all 4 atoms:
Tl (0.0000, 0.0000, 0.0000)
Co (0.0000, 0.0000, 0.5000)
Tc (0.5000, 0.5000, 0.3031)
Tc (0.5000, 0.5000, 0.6969)

Results
formation energy from the elements: 0.539 eV per atom
density of states at the Fermi level: 4.074 states/eV per cell
space group: Pmmm

***

First-principles (PBE) data for a geometry-optimized Ta2CuSb2 structure, as listed in Alexandria via LeMat-Bulk.

Cell lengths 7.3496, 7.3496, 3.7235 Å; angles 90.00, 90.00, 90.00 degrees
Fractional coordinates of all 10 atoms:
Ta (0.1410, 0.3590, 0.0000)
Ta (0.3590, 0.8590, 0.0000)
Ta (0.6410, 0.1410, 0.0000)
Ta (0.8590, 0.6410, 0.0000)
Cu (0.0000, 0.0000, 0.0000)
Cu (0.5000, 0.5000, 0.0000)
Sb (0.1565, 0.6565, 0.5000)
Sb (0.3435, 0.1565, 0.5000)
Sb (0.6565, 0.8435, 0.5000)
Sb (0.8435, 0.3435, 0.5000)

Results
density of states at the Fermi level: 8.714 states/eV per cell
space group: P4/mbm
formation energy without anion corrections: 0.201 eV/atom

***

First-principles (PBE) data for a geometry-optimized Na2NbPN4 structure, as listed in Alexandria via LeMat-Bulk.

Cell lengths 5.5033, 5.5033, 5.5033 Å; angles 123.19, 123.19, 84.57 degrees
Fractional coordinates of all 8 atoms:
Na (0.0000, 0.0000, 0.0000)
Na (0.7500, 0.2500, 0.5000)
Nb (0.5000, 0.5000, 0.0000)
P (0.2500, 0.7500, 0.5000)
N (0.2309, 0.6423, 0.1429)
N (0.3577, 0.5006, 0.5886)
N (0.4994, 0.0880, 0.8571)
N (0.9120, 0.7691, 0.4114)

Results
density of states at the Fermi level: 0.000 states/eV per cell
space group: I-4
formation energy without anion corrections: -0.677 eV/atom

***

First-principles (PBE) data for a geometry-optimized Rb2WAu structure, as listed in Alexandria via LeMat-Bulk.

Cell lengths 9.3791, 9.3791, 9.3791 Å; angles 94.27, 94.27, 148.31 degrees
Fractional coordinates of all 8 atoms:
Rb (0.3750, 0.2084, 0.3334)
Rb (0.7916, 0.1250, 0.1666)
Rb (0.8750, 0.0416, 0.6666)
Rb (0.9584, 0.6250, 0.8334)
W (0.2500, 0.7500, 0.5000)
W (0.5000, 0.5000, 0.0000)
Au (0.0000, 0.0000, 0.0000)
Au (0.7500, 0.2500, 0.5000)

Results
formation energy from the elements: 1.220 eV per atom
density of states at the Fermi level: 6.154 states/eV per cell
space group: I-42d

***

First-principles (PBE) data for a geometry-optimized Zr2Si structure, as listed in Alexandria via LeMat-Bulk.

Cell lengths 12.7587, 12.7587, 12.7587 Å; angles 167.05, 164.48, 20.26 degrees
Fractional coordinates of all 6 atoms:
Zr (0.3063, 0.0563, 0.2500)
Zr (0.4412, 0.1912, 0.2500)
Zr (0.5588, 0.8088, 0.7500)
Zr (0.6937, 0.9437, 0.7500)
Si (0.1266, 0.3766, 0.7500)
Si (0.8734, 0.6234, 0.2500)

Results
density of states at the Fermi level: 4.286 states/eV per cell
space group: Imma
formation energy without anion corrections: -0.234 eV/atom

***

First-principles (PBE) data for a geometry-optimized CsK4Cd4 structure, as listed in Alexandria via LeMat-Bulk.

Cell lengths 11.6447, 11.6447, 7.1504 Å; angles 90.00, 90.00, 90.00 degrees
Fractional coordinates of all 18 atoms:
Cs (0.2500, 0.2500, 0.2500)
Cs (0.7500, 0.7500, 0.7500)
K (0.0923, 0.6477, 0.1223)
K (0.1477, 0.9077, 0.6223)
K (0.3523, 0.5923, 0.6223)
K (0.4077, 0.8523, 0.1223)
K (0.5923, 0.1477, 0.8777)
K (0.6477, 0.4077, 0.3777)
K (0.8523, 0.0923, 0.3777)
K (0.9077, 0.3523, 0.8777)
Cd (0.0409, 0.5940, 0.6197)
Cd (0.0940, 0.9591, 0.1197)
Cd (0.4060, 0.5409, 0.1197)
Cd (0.4591, 0.9060, 0.6197)
Cd (0.5409, 0.0940, 0.3803)
Cd (0.5940, 0.4591, 0.8803)
Cd (0.9060, 0.0409, 0.8803)
Cd (0.9591, 0.4060, 0.3803)

Results
formation energy from the elements: 0.024 eV per atom
density of states at the Fermi level: 12.195 states/eV per cell
space group: P4_2/n

***

First-principles (PBE) data for a geometry-optimized NaNb13O33 structure, as listed in Alexandria via LeMat-Bulk.

Cell lengths 11.6011, 11.6011, 15.6867 Å; angles 91.50, 91.50, 19.20 degrees
Fractional coordinates of all 47 atoms:
Na (0.0000, 0.0000, 0.0000)
Nb (0.2080, 0.2080, 0.1264)
Nb (0.2756, 0.2756, 0.3635)
Nb (0.3448, 0.3448, 0.5960)
Nb (0.3632, 0.3632, 0.0314)
Nb (0.4133, 0.4133, 0.8247)
Nb (0.4296, 0.4296, 0.2714)
Nb (0.5000, 0.5000, 0.5000)
Nb (0.5704, 0.5704, 0.7286)
Nb (0.5867, 0.5867, 0.1753)
Nb (0.6368, 0.6368, 0.9686)
Nb (0.6552, 0.6552, 0.4040)
Nb (0.7244, 0.7244, 0.6365)
Nb (0.7920, 0.7920, 0.8736)
O (0.0000, 0.0000, 0.5000)
O (0.0705, 0.0705, 0.7465)
O (0.1099, 0.1099, 0.1636)
O (0.1524, 0.1524, 0.9968)
O (0.1798, 0.1798, 0.4002)
O (0.2336, 0.2336, 0.2358)
O (0.2493, 0.2493, 0.6369)
O (0.2777, 0.2777, 0.0695)
O (0.3055, 0.3055, 0.4733)
O (0.3182, 0.3182, 0.8883)
O (0.3471, 0.3471, 0.3059)
O (0.3721, 0.3721, 0.7125)
O (0.4007, 0.4007, 0.1333)
O (0.4180, 0.4180, 0.5481)
O (0.4314, 0.4314, 0.9546)
O (0.4653, 0.4653, 0.3799)
O (0.4883, 0.4883, 0.7911)
O (0.5117, 0.5117, 0.2089)
O (0.5347, 0.5347, 0.6201)
O (0.5686, 0.5686, 0.0454)
O (0.5820, 0.5820, 0.4519)
O (0.5993, 0.5993, 0.8667)
O (0.6279, 0.6279, 0.2875)
O (0.6529, 0.6529, 0.6941)
O (0.6818, 0.6818, 0.1117)
O (0.6945, 0.6945, 0.5267)
O (0.7223, 0.7223, 0.9305)
O (0.7507, 0.7507, 0.3631)
O (0.7664, 0.7664, 0.7642)
O (0.8202, 0.8202, 0.5998)
O (0.8476, 0.8476, 0.0032)
O (0.8901, 0.8901, 0.8364)
O (0.9295, 0.9295, 0.2535)

Results
density of states at the Fermi level: 0.000 states/eV per cell
space group: C2/m
formation energy without anion corrections: -2.535 eV/atom